The following is a DFT calculation (PBE) of a relaxed Pm6InSn3 crystal.

```
Pm6InSn3
1.0
5.4726 -7.8942 0.0000
5.4726 7.8942 0.0000
0.0000 0.0000 7.4389
Pm In Sn
12 2 6
direct
0.0356 0.9644 0.5000 Pm
0.0987 0.5012 0.0136 Pm
0.2423 0.3223 0.6654 Pm
0.2900 0.7100 0.5670 Pm
0.3223 0.2423 0.1654 Pm
0.4988 0.9013 0.0136 Pm
0.5012 0.0987 0.5136 Pm
0.6777 0.7577 0.6654 Pm
0.7100 0.2900 0.0670 Pm
0.7577 0.6777 0.1654 Pm
0.9013 0.4988 0.5136 Pm
0.9644 0.0356 0.0000 Pm
0.1645 0.8355 0.1849 In
0.8355 0.1645 0.6849 In
0.0171 0.2696 0.3222 Sn
0.2696 0.0171 0.8222 Sn
0.4426 0.5574 0.9408 Sn
0.5574 0.4426 0.4408 Sn
0.7304 0.9829 0.3222 Sn
0.9829 0.7304 0.8222 Sn
```

ΔE_f = -4.41 eV per formula unit
Calculated density = 6.93 g/cm3
N(E_F) = 19.24 states/eV/cell